Compound: HfSiTe
Source: OQMD via LeMat-Bulk
Functional: PBE
Structure: optimized geometry

## Properties
SG: F-43m
Energy above the lowest structure with this stoichiometry: 1015.1 meV/atom

POSCAR file:
```
HfSiTe
1.0
-3.276 -3.050 1.194
-3.172 1.134 3.180
-4.399 0.711 -1.267
Si Hf Te
1 1 1
Direct
0.000 0.000 0.000 Si
0.250 0.250 0.250 Hf
0.750 0.750 0.750 Te
```



Compound: Co9Ni4
Source: OQMD via LeMat-Bulk
Functional: PBE
Structure: optimized geometry

## Properties
ΔH_f (0 K): 0.118 eV/atom
SG: R-3m
Energy above the lowest structure with this stoichiometry: 0.0 meV/atom

POSCAR file:
```
Co9Ni4
1.0
-7.404 -1.568 -3.864
-6.528 -5.269 -1.352
-8.331 -1.564 0.598
Co Ni
9 4
Direct
0.547 0.547 0.547 Co
0.910 0.910 0.416 Co
0.416 0.910 0.910 Co
0.090 0.584 0.090 Co
0.000 0.000 0.000 Co
0.453 0.453 0.453 Co
0.090 0.090 0.584 Co
0.910 0.416 0.910 Co
0.584 0.090 0.090 Co
0.835 0.835 0.835 Ni
0.348 0.348 0.348 Ni
0.165 0.165 0.165 Ni
0.652 0.652 0.652 Ni
```



Compound: NbSnB4
Source: OQMD via LeMat-Bulk
Functional: PBE
Structure: optimized geometry

## Properties
SG: Immm
Energy above the lowest structure with this stoichiometry: 213.2 meV/atom

POSCAR file:
```
NbSnB4
1.0
-2.015 -3.681 -2.519
-2.123 -2.588 3.571
-0.141 4.285 -2.361
B Sn Nb
4 1 1
Direct
0.916 0.251 0.665 B
0.414 0.749 0.665 B
0.586 0.251 0.335 B
0.084 0.749 0.335 B
0.500 0.500 0.000 Sn
0.000 0.000 0.000 Nb
```



Compound: SmHgAu
Source: OQMD via LeMat-Bulk
Functional: PBE
Structure: optimized geometry

## Properties
ΔH_f (0 K): -0.320 eV/atom
SG: F-43m

POSCAR file:
```
SmHgAu
1.0
0.000 3.490 3.490
3.490 0.000 3.490
3.490 3.490 0.000
Au Sm Hg
1 1 1
Direct
0.250 0.250 0.250 Au
0.000 0.000 0.000 Sm
0.750 0.750 0.750 Hg
```



Compound: MgScHg2
Source: OQMD via LeMat-Bulk
Functional: PBE
Structure: optimized geometry

## Properties
Uncorrected energy: -9.90 eV/f.u.
SG: Cmmm

POSCAR file:
```
MgScHg2
1.0
6.818 0.000 0.000
0.000 6.913 0.000
0.000 0.000 7.126
Hg Mg Sc
8 4 4
Direct
0.000 0.500 0.250 Hg
0.000 0.500 0.750 Hg
0.500 0.000 0.750 Hg
0.000 0.000 0.750 Hg
0.500 0.000 0.250 Hg
0.000 0.000 0.250 Hg
0.500 0.500 0.750 Hg
0.500 0.500 0.250 Hg
0.250 0.750 0.000 Mg
0.750 0.250 0.000 Mg
0.750 0.250 0.500 Mg
0.250 0.750 0.500 Mg
0.250 0.250 0.000 Sc
0.250 0.250 0.500 Sc
0.750 0.750 0.000 Sc
0.750 0.750 0.500 Sc
```



Compound: NaCoAs
Source: OQMD via LeMat-Bulk
Functional: PBE
Structure: optimized geometry

## Properties
Uncorrected energy: -12.41 eV/f.u.
SG: F-43m

POSCAR file:
```
NaCoAs
1.0
2.066 -1.436 3.303
-1.781 0.062 3.751
-1.174 -3.553 1.800
As Co Na
1 1 1
Direct
0.250 0.250 0.250 As
0.000 0.000 0.000 Co
0.750 0.750 0.750 Na
```



no.,size of the total moment (Bohr magnetons per cell)
1,0.0
2,17.3
3,0.0
4,0.0
5,0.0
6,1.0